1.
Material: Ti3FeTc
Method: DFT, SCAN
State: PBEsol geometry

Cell: 4.591 4.591 4.591 Å, 90.00 90.00 90.00°
Space group Pm-3m (No. 221)
One atom of each set of equivalent atoms:
1 Ti 0.000 0.000 0.500 (multiplicity 3)
2 Fe 0.500 0.500 0.500 (multiplicity 1)
3 Tc 0.000 0.000 0.000 (multiplicity 1)

Computed properties:
E_tot = -19.4934 eV/atom

2.
Material: Fe3TcW
Method: DFT, SCAN
State: PBEsol geometry

Cell: 4.304 4.304 4.304 Å, 90.00 90.00 90.00°
Space group Pm-3m (No. 221)
One atom of each set of equivalent atoms:
1 Fe 0.000 0.000 0.500 (multiplicity 3)
2 Tc 0.500 0.500 0.500 (multiplicity 1)
3 W 0.000 0.000 0.000 (multiplicity 1)

Computed properties:
E_tot = -29.8978 eV/atom

3.
Material: Fe2TcW
Method: DFT, SCAN
State: PBEsol geometry

Cell: 3.021 3.021 5.701 Å, 90.00 90.00 90.00°
Space group P4mm (No. 99)
One atom of each set of equivalent atoms:
1 Fe 0.000 0.000 0.000 (multiplicity 1)
2 Fe 0.500 0.500 0.222 (multiplicity 1)
3 Tc 0.000 0.000 0.481 (multiplicity 1)
4 W 0.500 0.500 0.746 (multiplicity 1)

Computed properties:
E_tot = -35.2494 eV/atom

4.
Material: ZnFe2Tc
Method: DFT, SCAN
State: PBEsol geometry

Cell: 8.450 2.552 4.555 Å, 90.00 97.96 90.00°
Space group C2/m (No. 12)
One atom of each set of equivalent atoms:
1 Zn 0.000 0.000 0.000 (multiplicity 2)
2 Fe 0.249 0.500 0.255 (multiplicity 4)
3 Tc 0.000 0.500 0.500 (multiplicity 2)

Computed properties:
E_tot = -21.0517 eV/atom

no.,ΔE_f (eV/atom)
1,0.762
2,1.930
3,0.002
4,0.157